## FeAsIr2 (SCAN)

Data for a PBEsol-optimized structure of FeAsIr2.

Geometry as extended XYZ:
```
4
Lattice="2.748 0.000 0.000 0.000 4.428 0.000 -0.030 0.000 4.633" Properties=species:S:1:pos:R:3 pbc="T T T"
Fe 0.000 0.000 0.000
As 1.359 0.000 2.316
Ir 0.683 2.214 3.492
Ir 2.036 2.214 1.141
```

The calculation puts the magnetization at 3.42 μB/cell. For the formation enthalpy at 0 K, the calculation gives 2.590 kcal/mol of atoms.